[1]
Entry from Alexandria: Ni2RuPt at its PBEsol-relaxed geometry (meta-GGA SCAN). Values from VASP.

```
&SYSTEM
  ibrav = 0, nat = 4, ntyp = 3
/
ATOMIC_SPECIES
Ni 58.69 Ni.upf
Ru 101.07 Ru.upf
Pt 195.08 Pt.upf
CELL_PARAMETERS angstrom
4.311 -1.317 0.000
4.311 1.317 0.000
-0.811 0.000 4.343
ATOMIC_POSITIONS angstrom
Ni 0.000 0.000 0.000
Ni 6.242 0.000 1.041
Ru 3.865 0.000 2.093
Pt 1.528 0.000 3.224
```

Values from the calculation:
- E_form (eV per formula unit) = 0.2
- symmetry = Cm, No. 8
- calculated volume (Å³ per cell) = 49
- E above lowest polymorph (meV/atom) = 37
- DOS(E_F) (states/eV/f.u.) = 4.91

=====

[2]
Entry from Alexandria: ScNiPt2S at its PBEsol-relaxed geometry (meta-GGA SCAN). Values from VASP.

```
&SYSTEM
  ibrav = 0, nat = 5, ntyp = 4
/
ATOMIC_SPECIES
Sc 44.96 Sc.upf
Ni 58.69 Ni.upf
Pt 195.08 Pt.upf
S 32.06 S.upf
CELL_PARAMETERS angstrom
4.724 0.000 0.000
0.000 4.724 0.000
0.000 0.000 4.672
ATOMIC_POSITIONS angstrom
Sc 0.000 0.000 0.000
Ni 2.362 2.362 2.336
Pt 0.000 2.362 0.000
Pt 2.362 0.000 0.000
S 0.000 0.000 2.336
```

Values from the calculation:
- symmetry = P4/mmm, No. 123
- calculated volume (Å³ per cell) = 104
- raw formation energy (eV per atom) = 0.749
- DOS(E_F) (states/eV/f.u.) = 4.33

=====

[3]
Entry from Alexandria: Sr2NiPtS at its PBEsol-relaxed geometry (meta-GGA SCAN). Values from VASP.

```
&SYSTEM
  ibrav = 0, nat = 5, ntyp = 4
/
ATOMIC_SPECIES
Sr 87.62 Sr.upf
Ni 58.69 Ni.upf
Pt 195.08 Pt.upf
S 32.06 S.upf
CELL_PARAMETERS angstrom
5.636 0.000 0.000
0.000 5.636 0.000
0.000 0.000 4.480
ATOMIC_POSITIONS angstrom
Sr 0.000 2.818 0.000
Sr 2.818 0.000 0.000
Ni 0.000 0.000 2.240
Pt 0.000 0.000 0.000
S 2.818 2.818 2.240
```

Values from the calculation:
- symmetry = P4/mmm, No. 123
- calculated volume (Å³ per cell) = 142
- raw formation energy (eV per atom) = -0.609
- DOS(E_F) (states/eV/f.u.) = 1.49

=====

[4]
Entry from Alexandria: Ni2SbPt at its PBEsol-relaxed geometry (meta-GGA SCAN). Values from VASP.

```
&SYSTEM
  ibrav = 0, nat = 4, ntyp = 3
/
ATOMIC_SPECIES
Ni 58.69 Ni.upf
Sb 121.76 Sb.upf
Pt 195.08 Pt.upf
CELL_PARAMETERS angstrom
1.482 0.855 7.707
-1.482 0.855 7.707
0.000 -1.711 7.707
ATOMIC_POSITIONS angstrom
Ni 0.000 0.000 5.741
Ni 0.000 0.000 17.379
Sb 0.000 0.000 11.560
Pt 0.000 0.000 0.000
```

Values from the calculation:
- symmetry = R-3m, No. 166
- calculated volume (Å³ per cell) = 59
- raw formation energy (eV per atom) = 0.239
- DOS(E_F) (states/eV/f.u.) = 4.85

=====

[5]
Entry from Alexandria: Ni2SbPt at its PBEsol-relaxed geometry (meta-GGA SCAN). Values from VASP.

```
&SYSTEM
  ibrav = 0, nat = 4, ntyp = 3
/
ATOMIC_SPECIES
Ni 58.69 Ni.upf
Sb 121.76 Sb.upf
Pt 195.08 Pt.upf
CELL_PARAMETERS angstrom
3.909 0.000 0.000
0.000 3.909 0.000
0.000 0.000 3.606
ATOMIC_POSITIONS angstrom
Ni 0.000 1.955 0.000
Ni 1.955 0.000 0.000
Sb 0.000 0.000 1.803
Pt 1.955 1.955 1.803
```

Values from the calculation:
- symmetry = P4/mmm, No. 123
- calculated volume (Å³ per cell) = 55
- raw formation energy (eV per atom) = -0.156
- DOS(E_F) (states/eV/f.u.) = 2.27

=====

[6]
Entry from Alexandria: Ni2SbPt at its PBEsol-relaxed geometry (meta-GGA SCAN). Values from VASP.

```
&SYSTEM
  ibrav = 0, nat = 4, ntyp = 3
/
ATOMIC_SPECIES
Ni 58.69 Ni.upf
Sb 121.76 Sb.upf
Pt 195.08 Pt.upf
CELL_PARAMETERS angstrom
3.244 0.000 0.000
0.000 3.244 0.000
0.000 0.000 5.378
ATOMIC_POSITIONS angstrom
Ni 0.000 0.000 1.346
Ni 0.000 0.000 4.033
Sb 1.622 1.622 0.000
Pt 1.622 1.622 2.689
```

Values from the calculation:
- symmetry = P4/mmm, No. 123
- calculated volume (Å³ per cell) = 57
- raw formation energy (eV per atom) = 0.024
- DOS(E_F) (states/eV/f.u.) = 3.99

=====

[7]
Entry from Alexandria: Ni2SbPt at its PBEsol-relaxed geometry (meta-GGA SCAN). Values from VASP.

```
&SYSTEM
  ibrav = 0, nat = 4, ntyp = 3
/
ATOMIC_SPECIES
Ni 58.69 Ni.upf
Sb 121.76 Sb.upf
Pt 195.08 Pt.upf
CELL_PARAMETERS angstrom
-1.888 1.888 3.867
1.888 -1.888 3.867
1.888 1.888 -3.867
ATOMIC_POSITIONS angstrom
Ni 0.000 0.000 0.000
Ni 0.000 1.888 1.933
Sb 1.888 0.000 1.933
Pt 0.000 0.000 3.867
```

Values from the calculation:
- symmetry = I-4m2, No. 119
- calculated volume (Å³ per cell) = 55
- raw formation energy (eV per atom) = -0.136
- DOS(E_F) (states/eV/f.u.) = 2.57

=====

[8]
Entry from Alexandria: Ni2SbPt at its PBEsol-relaxed geometry (meta-GGA SCAN). Values from VASP.

```
&SYSTEM
  ibrav = 0, nat = 4, ntyp = 3
/
ATOMIC_SPECIES
Ni 58.69 Ni.upf
Sb 121.76 Sb.upf
Pt 195.08 Pt.upf
CELL_PARAMETERS angstrom
-2.011 2.011 3.408
2.011 -2.011 3.408
2.011 2.011 -3.408
ATOMIC_POSITIONS angstrom
Ni 2.011 0.000 1.704
Ni 0.000 2.011 1.704
Sb 0.000 0.000 0.000
Pt 0.000 0.000 3.408
```

Values from the calculation:
- symmetry = I4/mmm, No. 139
- calculated volume (Å³ per cell) = 55
- raw formation energy (eV per atom) = -0.105
- DOS(E_F) (states/eV/f.u.) = 2.43

=====

[9]
Entry from Alexandria: Sc2Ni2Pt at its PBEsol-relaxed geometry (meta-GGA SCAN). Values from VASP.

```
&SYSTEM
  ibrav = 0, nat = 10, ntyp = 3
/
ATOMIC_SPECIES
Sc 44.96 Sc.upf
Ni 58.69 Ni.upf
Pt 195.08 Pt.upf
CELL_PARAMETERS angstrom
6.720 0.000 0.000
0.000 6.720 0.000
0.000 0.000 3.342
ATOMIC_POSITIONS angstrom
Sc 1.213 2.147 0.000
Sc 2.147 5.507 0.000
Sc 4.573 1.213 0.000
Sc 5.507 4.573 0.000
Ni 0.822 4.182 1.671
Ni 2.538 0.822 1.671
Ni 4.182 5.898 1.671
Ni 5.898 2.538 1.671
Pt 0.000 0.000 1.671
Pt 3.360 3.360 1.671
```

Values from the calculation:
- E_form (eV per formula unit) = -3.9
- symmetry = P4/mbm, No. 127
- calculated volume (Å³ per cell) = 151
- DOS(E_F) (states/eV/f.u.) = 3.26

=====

[10]
Entry from Alexandria: Sc2NiPt at its PBEsol-relaxed geometry (meta-GGA SCAN). Values from VASP.

```
&SYSTEM
  ibrav = 0, nat = 4, ntyp = 3
/
ATOMIC_SPECIES
Sc 44.96 Sc.upf
Ni 58.69 Ni.upf
Pt 195.08 Pt.upf
CELL_PARAMETERS angstrom
4.524 0.000 0.000
0.000 4.524 0.000
0.000 0.000 3.204
ATOMIC_POSITIONS angstrom
Sc 0.000 2.262 0.000
Sc 2.262 0.000 0.000
Ni 0.000 0.000 1.602
Pt 2.262 2.262 1.602
```

Values from the calculation:
- E_form (eV per formula unit) = -4.1
- symmetry = P4/mmm, No. 123
- calculated volume (Å³ per cell) = 66
- DOS(E_F) (states/eV/f.u.) = 2.36

=====

[11]
Entry from Alexandria: Sc2NiPt at its PBEsol-relaxed geometry (meta-GGA SCAN). Values from VASP.

```
&SYSTEM
  ibrav = 0, nat = 4, ntyp = 3
/
ATOMIC_SPECIES
Sc 44.96 Sc.upf
Ni 58.69 Ni.upf
Pt 195.08 Pt.upf
CELL_PARAMETERS angstrom
4.212 0.000 0.000
0.000 1.700 4.805
0.000 -1.700 4.805
ATOMIC_POSITIONS angstrom
Sc 0.000 0.000 0.000
Sc 2.106 0.000 2.722
Ni 2.106 0.000 5.366
Pt 0.000 0.000 6.929
```

Values from the calculation:
- E_form (eV per formula unit) = -3.9
- symmetry = Amm2, No. 38
- calculated volume (Å³ per cell) = 69
- DOS(E_F) (states/eV/f.u.) = 3.11

=====

[12]
Entry from Alexandria: Sc2NiPt at its PBEsol-relaxed geometry (meta-GGA SCAN). Values from VASP.

```
&SYSTEM
  ibrav = 0, nat = 4, ntyp = 3
/
ATOMIC_SPECIES
Sc 44.96 Sc.upf
Ni 58.69 Ni.upf
Pt 195.08 Pt.upf
CELL_PARAMETERS angstrom
0.000 3.199 3.199
3.199 0.000 3.199
3.199 3.199 0.000
ATOMIC_POSITIONS angstrom
Sc 1.599 1.599 1.599
Sc 4.798 4.798 4.798
Ni 0.000 0.000 0.000
Pt 3.199 3.199 3.199
```

Values from the calculation:
- E_form (eV per formula unit) = -4.1
- symmetry = Fm-3m, No. 225
- calculated volume (Å³ per cell) = 65
- DOS(E_F) (states/eV/f.u.) = 2.37

=====

[13]
Entry from Alexandria: ScNi4Pt at its PBEsol-relaxed geometry (meta-GGA SCAN). Values from VASP.

```
&SYSTEM
  ibrav = 0, nat = 6, ntyp = 3
/
ATOMIC_SPECIES
Sc 44.96 Sc.upf
Ni 58.69 Ni.upf
Pt 195.08 Pt.upf
CELL_PARAMETERS angstrom
0.000 3.332 3.332
3.332 0.000 3.332
3.332 3.332 0.000
ATOMIC_POSITIONS angstrom
Sc 0.000 0.000 0.000
Ni 2.504 2.504 2.504
Ni 4.160 4.160 2.504
Ni 4.160 2.504 4.160
Ni 2.504 4.160 4.160
Pt 4.998 4.998 4.998
```

Values from the calculation:
- E_form (eV per formula unit) = -2.7
- symmetry = F-43m, No. 216
- calculated volume (Å³ per cell) = 74
- DOS(E_F) (states/eV/f.u.) = 5.78

=====

[14]
Entry from Alexandria: Ni2PtSe at its PBEsol-relaxed geometry (meta-GGA SCAN). Values from VASP.

```
&SYSTEM
  ibrav = 0, nat = 4, ntyp = 3
/
ATOMIC_SPECIES
Ni 58.69 Ni.upf
Pt 195.08 Pt.upf
Se 78.96 Se.upf
CELL_PARAMETERS angstrom
-1.606 2.110 3.883
1.606 -2.110 3.883
1.606 2.110 -3.883
ATOMIC_POSITIONS angstrom
Ni 0.000 0.000 1.721
Ni 0.000 0.000 6.046
Pt 0.000 2.110 0.000
Se 1.606 0.000 0.000
```

Values from the calculation:
- symmetry = Immm, No. 71
- calculated volume (Å³ per cell) = 53
- raw formation energy (eV per atom) = 0.165
- DOS(E_F) (states/eV/f.u.) = 3.23

=====

[15]
Entry from Alexandria: Ni2PtSe at its PBEsol-relaxed geometry (meta-GGA SCAN). Values from VASP.

```
&SYSTEM
  ibrav = 0, nat = 4, ntyp = 3
/
ATOMIC_SPECIES
Ni 58.69 Ni.upf
Pt 195.08 Pt.upf
Se 78.96 Se.upf
CELL_PARAMETERS angstrom
2.906 0.000 0.000
0.000 2.906 0.000
0.000 0.000 6.141
ATOMIC_POSITIONS angstrom
Ni 0.000 0.000 1.400
Ni 0.000 0.000 4.741
Pt 1.453 1.453 3.071
Se 1.453 1.453 0.000
```

Values from the calculation:
- symmetry = P4/mmm, No. 123
- calculated volume (Å³ per cell) = 52
- raw formation energy (eV per atom) = 0.105
- DOS(E_F) (states/eV/f.u.) = 2.54

=====

[16]
Entry from Alexandria: Ni2PtSe at its PBEsol-relaxed geometry (meta-GGA SCAN). Values from VASP.

```
&SYSTEM
  ibrav = 0, nat = 4, ntyp = 3
/
ATOMIC_SPECIES
Ni 58.69 Ni.upf
Pt 195.08 Pt.upf
Se 78.96 Se.upf
CELL_PARAMETERS angstrom
2.903 0.000 0.000
0.000 4.051 0.000
0.000 0.000 4.463
ATOMIC_POSITIONS angstrom
Ni 0.000 0.000 0.000
Ni 0.000 2.025 1.434
Pt 1.452 0.000 2.222
Se 1.452 2.025 3.993
```

Values from the calculation:
- symmetry = Pmm2, No. 25
- calculated volume (Å³ per cell) = 52
- raw formation energy (eV per atom) = 0.116
- DOS(E_F) (states/eV/f.u.) = 3.77

=====

[17]
Entry from Alexandria: Ni2PtSe at its PBEsol-relaxed geometry (meta-GGA SCAN). Values from VASP.

```
&SYSTEM
  ibrav = 0, nat = 4, ntyp = 3
/
ATOMIC_SPECIES
Ni 58.69 Ni.upf
Pt 195.08 Pt.upf
Se 78.96 Se.upf
CELL_PARAMETERS angstrom
-1.848 1.848 3.835
1.848 -1.848 3.835
1.848 1.848 -3.835
ATOMIC_POSITIONS angstrom
Ni 0.000 0.000 0.000
Ni 0.000 1.848 1.918
Pt 0.000 0.000 3.835
Se 1.848 0.000 1.918
```

Values from the calculation:
- symmetry = I-4m2, No. 119
- calculated volume (Å³ per cell) = 52
- raw formation energy (eV per atom) = 0.177
- DOS(E_F) (states/eV/f.u.) = 3.26

=====

[18]
Entry from Alexandria: Si2NiPt at its PBEsol-relaxed geometry (meta-GGA SCAN). Values from VASP.

```
&SYSTEM
  ibrav = 0, nat = 4, ntyp = 3
/
ATOMIC_SPECIES
Si 28.09 Si.upf
Ni 58.69 Ni.upf
Pt 195.08 Pt.upf
CELL_PARAMETERS angstrom
1.374 -2.458 0.000
1.374 2.458 0.000
0.000 0.000 7.899
ATOMIC_POSITIONS angstrom
Si 0.000 0.000 1.849
Si 0.000 0.000 6.050
Ni 1.374 0.000 0.000
Pt 1.374 0.000 3.949
```

Values from the calculation:
- symmetry = Cmmm, No. 65
- calculated volume (Å³ per cell) = 53
- raw formation energy (eV per atom) = -0.101
- DOS(E_F) (states/eV/f.u.) = 1.51

=====

[19]
Entry from Alexandria: Si2NiPt at its PBEsol-relaxed geometry (meta-GGA SCAN). Values from VASP.

```
&SYSTEM
  ibrav = 0, nat = 4, ntyp = 3
/
ATOMIC_SPECIES
Si 28.09 Si.upf
Ni 58.69 Ni.upf
Pt 195.08 Pt.upf
CELL_PARAMETERS angstrom
2.860 0.000 0.000
0.000 3.953 0.000
-0.708 0.000 4.799
ATOMIC_POSITIONS angstrom
Si 0.281 0.000 1.381
Si 1.870 0.000 3.418
Ni 1.076 1.977 2.399
Pt 0.000 1.977 0.000
```

Values from the calculation:
- symmetry = P2/m, No. 10
- calculated volume (Å³ per cell) = 54
- raw formation energy (eV per atom) = -0.228
- DOS(E_F) (states/eV/f.u.) = 1.84

=====

[20]
Entry from Alexandria: Si2NiPt at its PBEsol-relaxed geometry (meta-GGA SCAN). Values from VASP.

```
&SYSTEM
  ibrav = 0, nat = 4, ntyp = 3
/
ATOMIC_SPECIES
Si 28.09 Si.upf
Ni 58.69 Ni.upf
Pt 195.08 Pt.upf
CELL_PARAMETERS angstrom
0.000 2.942 2.942
2.942 0.000 2.942
2.942 2.942 0.000
ATOMIC_POSITIONS angstrom
Si 1.471 1.471 1.471
Si 4.413 4.413 4.413
Ni 0.000 0.000 0.000
Pt 2.942 2.942 2.942
```

Values from the calculation:
- symmetry = Fm-3m, No. 225
- calculated volume (Å³ per cell) = 51
- raw formation energy (eV per atom) = -0.277
- DOS(E_F) (states/eV/f.u.) = 1.73